# 1
Sc2SnCl2 after structural relaxation, computed with PBE.

Unit cell a=4.754 b=4.754 c=5.964 alpha=66.52 beta=66.52 gamma=90.00
Fractional positions:
Sc  0.750  0.250  0.500
Sc  0.250  0.750  0.500
Sn  0.000  0.000  0.000
Cl  0.347  0.347  0.307
Cl  0.653  0.653  0.693

## Properties
Energy above the most stable polymorph in this dataset ... 0.00 kcal/mol of atoms
Symmetry ... No. 139
Magnetic moment ... 0.00 Bohr magnetons per cell


# 2
YZr2Zn after structural relaxation, computed with PBE.

Unit cell a=4.714 b=3.325 c=6.239 alpha=74.61 beta=90.00 gamma=90.00
Fractional positions:
Y  0.000  0.538  0.547
Zn  0.500  0.939  0.744
Zr  0.000  0.804  0.019
Zr  0.500  0.218  0.191

## Properties
Symmetry ... No. 6
Magnetic moment ... 0.00 Bohr magnetons per cell
Energy of formation ... -0.019 eV per atom


# 3
HgPAuS2 after structural relaxation, computed with PBE.

Unit cell a=5.015 b=5.015 c=4.997 alpha=90.00 beta=90.00 gamma=90.00
Fractional positions:
P  0.000  0.000  0.500
S  0.000  0.500  0.000
S  0.500  0.000  0.000
Au  0.500  0.500  0.500
Hg  0.000  0.000  0.000

## Properties
Energy above the most stable polymorph in this dataset ... 10.47 kcal/mol of atoms
Symmetry ... No. 123
Magnetic moment ... 1.58 Bohr magnetons per cell